Record 1
A plane-wave DFT calculation with PBE was carried out for a relaxed TbFeSi2Ir crystal.

Calculated values
Symmetry: I-4m2 (119)
Calculated total energy (eV/atom): -7.4562
Density of states at the Fermi level (states/eV per atom): 0.5195

a = 5.6577 Å, b = 5.6577 Å, c = 5.6577 Å
α = 138.16°, β = 138.16°, γ = 60.65°
Atoms (fractional coordinates):
1 Tb 0.0000 0.0000 0.0000
2 Fe 0.7500 0.2500 0.5000
3 Si 0.3726 0.3726 0.0000
4 Si 0.6274 0.6274 0.0000
5 Ir 0.2500 0.7500 0.5000

=====

Record 2
A plane-wave DFT calculation with PBE was carried out for a relaxed Ba2NdPbSe5 crystal.

Calculated values
Symmetry: Cmc2_1 (36)
Calculated total energy (eV/atom): -4.8271
Density of states at the Fermi level (states/eV per atom): 0.2932

a = 9.7224 Å, b = 9.7224 Å, c = 13.6150 Å
α = 90.00°, β = 90.00°, γ = 153.36°
Atoms (fractional coordinates):
1 Ba 0.1138 0.8862 0.5000
2 Ba 0.1388 0.8612 0.1236
3 Ba 0.8612 0.1388 0.6236
4 Ba 0.8862 0.1138 0.0000
5 Nd 0.2115 0.7885 0.8296
6 Nd 0.7885 0.2115 0.3296
7 Pb 0.4672 0.5328 0.2684
8 Pb 0.5328 0.4672 0.7684
9 Se 0.0530 0.9470 0.8914
10 Se 0.2855 0.7145 0.4725
11 Se 0.3189 0.6811 0.1848
12 Se 0.3643 0.6357 0.8135
13 Se 0.4894 0.5106 0.5733
14 Se 0.5106 0.4894 0.0733
15 Se 0.6357 0.3643 0.3135
16 Se 0.6811 0.3189 0.6848
17 Se 0.7145 0.2855 0.9725
18 Se 0.9470 0.0530 0.3914

=====

Record 3
A plane-wave DFT calculation with PBE was carried out for a relaxed SrTlRe2 crystal.

Calculated values
ΔE_f (eV/atom): 1.264
Offset from the most stable computed form (kJ/mol of formula units): 338.8
Symmetry: Immm (71)
Calculated total energy (eV/atom): -5.9719
Density of states at the Fermi level (states/eV per atom): 1.1898

a = 6.1320 Å, b = 6.1320 Å, c = 6.1320 Å
α = 152.22°, β = 129.86°, γ = 58.29°
Atoms (fractional coordinates):
1 Sr 0.0000 0.0000 0.0000
2 Tl 0.5000 0.5000 0.0000
3 Re 0.2727 0.7727 0.5000
4 Re 0.7273 0.2273 0.5000